Density functional theory data (PBE-GGA) for crystalline Ga2SnAu3 at its relaxed geometry.

Properties
As for the symmetry: Pmma, No. 51.

Cell: 5.7216 4.2363 10.5125 Å, 90.00 90.00 90.00°
Sites, in units of the cell vectors:
Ga (0.2500, 0.0000, 0.0859)
Ga (0.2500, 0.5000, 0.7765)
Ga (0.7500, 0.0000, 0.9141)
Ga (0.7500, 0.5000, 0.2235)
Sn (0.2500, 0.5000, 0.4371)
Sn (0.7500, 0.5000, 0.5629)
Au (0.0000, 0.5000, 0.0000)
Au (0.0024, 0.0000, 0.6984)
Au (0.4976, 0.0000, 0.6984)
Au (0.5000, 0.5000, 0.0000)
Au (0.5024, 0.0000, 0.3016)
Au (0.9976, 0.0000, 0.3016)


Density functional theory data (PBE-GGA) for crystalline BaGaFe2Pd at its relaxed geometry.

Properties
As for the symmetry: P4/mmm, No. 123.

Cell: 4.7889 4.7889 5.3162 Å, 90.00 90.00 90.00°
Sites, in units of the cell vectors:
Ba (0.0000, 0.0000, 0.0000)
Ga (0.0000, 0.0000, 0.5000)
Fe (0.0000, 0.5000, 0.0000)
Fe (0.5000, 0.0000, 0.0000)
Pd (0.5000, 0.5000, 0.5000)


Density functional theory data (PBE-GGA) for crystalline ZrC4 at its relaxed geometry.

Properties
Its energy above the most stable polymorph in this dataset is 2.6975 eV/atom. As for the symmetry: Pm-3m, No. 221.

Cell: 4.3556 4.3556 4.3556 Å, 90.00 90.00 90.00°
Sites, in units of the cell vectors:
Zr (0.0000, 0.0000, 0.0000)
C (0.0000, 0.0000, 0.5000)
C (0.0000, 0.5000, 0.0000)
C (0.5000, 0.0000, 0.0000)
C (0.5000, 0.5000, 0.5000)


Density functional theory data (PBE-GGA) for crystalline Al2TcAs at its relaxed geometry.

Properties
As for the symmetry: Imm2, No. 44.

Cell: 3.3396 4.4337 8.3090 Å, 90.00 90.00 90.00°
Sites, in units of the cell vectors:
Al (0.0000, 0.0000, 0.0000)
Al (0.0000, 0.5000, 0.2439)
Al (0.5000, 0.0000, 0.7439)
Al (0.5000, 0.5000, 0.5000)
Tc (0.0000, 0.0000, 0.4939)
Tc (0.5000, 0.5000, 0.9939)
As (0.0000, 0.5000, 0.7463)
As (0.5000, 0.0000, 0.2463)


no.,calculated formation energy (eV/atom),D(E_F) (states/eV per cell)
1,-0.147,4.87
2,2.067,4.62
3,3.651,3.55
4,-0.059,4.63